No. 1
Pm3SmY4 | PBE | relaxed Values from VASP.

Cell and atoms, written as Quantum ESPRESSO input:
```
&SYSTEM
  ibrav = 0, nat = 8, ntyp = 3
/
ATOMIC_SPECIES
Y 88.91 Y.upf
Sm 150.36 Sm.upf
Pm 145.00 Pm.upf
CELL_PARAMETERS angstrom
-2.767 -0.854 -2.165
4.220 -11.081 -1.026
-3.699 -0.684 4.997
ATOMIC_POSITIONS angstrom
Y -2.376 -9.681 0.814
Y -3.104 -3.706 2.409
Y 0.130 -2.937 0.993
Y 0.858 -8.912 -0.603
Sm -1.384 -0.427 -1.083
Pm -1.849 -0.342 2.499
Pm -1.123 -6.309 0.903
Pm 2.110 -5.540 -0.513
```

space group = P2/m, No. 10
density of states at the Fermi level = 10.97 states/eV/cell
ΔH_f (0 K) = 0.014 eV per atom
ΔE to the lowest computed polymorph = 0 kJ/mol of formula units

***

No. 2
SrIn2TePt | PBE | relaxed Values from VASP.

Cell and atoms, written as Quantum ESPRESSO input:
```
&SYSTEM
  ibrav = 0, nat = 5, ntyp = 4
/
ATOMIC_SPECIES
Sr 87.62 Sr.upf
Te 127.60 Te.upf
Pt 195.08 Pt.upf
In 114.82 In.upf
CELL_PARAMETERS angstrom
-4.347 0.961 2.632
-1.564 -4.863 -0.808
2.659 -1.688 5.009
ATOMIC_POSITIONS angstrom
Sr 1.330 -0.844 2.504
Te -1.626 -2.795 3.416
Pt 0.000 0.000 0.000
In -0.782 -2.432 -0.404
In -2.174 0.480 1.316
```

space group = P4/mmm, No. 123
density of states at the Fermi level = 1.30 states/eV/cell
formation energy without anion corrections = -0.699 eV per atom

***

No. 3
TaNiOs | PBE | relaxed Values from VASP.

Cell and atoms, written as Quantum ESPRESSO input:
```
&SYSTEM
  ibrav = 0, nat = 3, ntyp = 3
/
ATOMIC_SPECIES
Ni 58.69 Ni.upf
Os 190.23 Os.upf
Ta 180.95 Ta.upf
CELL_PARAMETERS angstrom
-2.614 5.323 0.828
-4.804 2.543 2.512
4.704 -3.704 0.003
ATOMIC_POSITIONS angstrom
Ni -7.379 7.824 3.322
Os -2.544 2.698 1.146
Ta -4.912 5.209 2.212
```

space group = I4mm, No. 107
density of states at the Fermi level = 4.92 states/eV/cell
ΔH_f (0 K) = 0.047 eV per atom
ΔE to the lowest computed polymorph = 113 kJ/mol of formula units

***

No. 4
CuBC2 | PBE | relaxed Values from VASP.

Cell and atoms, written as Quantum ESPRESSO input:
```
&SYSTEM
  ibrav = 0, nat = 8, ntyp = 3
/
ATOMIC_SPECIES
C 12.01 C.upf
B 10.81 B.upf
Cu 63.55 Cu.upf
CELL_PARAMETERS angstrom
-3.458 -2.143 1.346
1.726 -0.330 3.908
-2.506 2.037 3.628
ATOMIC_POSITIONS angstrom
C -2.317 -0.714 2.137
C -0.235 -0.123 3.617
C -2.402 0.576 4.978
C -3.522 -0.612 7.030
B -0.866 -1.237 2.627
B -0.823 0.235 5.081
Cu 0.000 0.000 0.000
Cu -3.415 -0.672 3.800
```

space group = I-42d, No. 122
density of states at the Fermi level = 2.86 states/eV/cell
ΔH_f (0 K) = 1.019 eV per atom

***

No. 5
NaEr2In | PBE | relaxed Values from VASP.

Cell and atoms, written as Quantum ESPRESSO input:
```
&SYSTEM
  ibrav = 0, nat = 4, ntyp = 3
/
ATOMIC_SPECIES
Na 22.99 Na.upf
In 114.82 In.upf
Er 167.26 Er.upf
CELL_PARAMETERS angstrom
-2.335 2.153 1.624
1.389 -0.881 3.165
6.019 7.041 -0.681
ATOMIC_POSITIONS angstrom
Na 2.536 4.156 2.054
In -0.473 0.636 2.395
Er 4.739 5.544 -0.536
Er 1.280 1.497 -0.145
```

space group = P4/mmm, No. 123
density of states at the Fermi level = 3.22 states/eV/cell
ΔH_f (0 K) = -0.048 eV per atom

***

No. 6
KCdIn2Bi | PBE | relaxed Values from VASP.

Cell and atoms, written as Quantum ESPRESSO input:
```
&SYSTEM
  ibrav = 0, nat = 5, ntyp = 4
/
ATOMIC_SPECIES
K 39.10 K.upf
Cd 112.41 Cd.upf
In 114.82 In.upf
Bi 208.98 Bi.upf
CELL_PARAMETERS angstrom
-2.285 4.818 0.744
-2.379 -1.757 4.076
7.120 0.194 1.128
ATOMIC_POSITIONS angstrom
K 4.210 1.516 3.110
Cd 0.647 -0.217 3.395
In 0.571 3.026 1.638
In 0.689 0.248 0.509
Bi 0.829 2.669 4.745
```

space group = Imm2, No. 44
density of states at the Fermi level = 1.31 states/eV/cell
ΔH_f (0 K) = -0.152 eV per atom

***

No. 7
TbVGa6 | PBE | relaxed Values from VASP.

Cell and atoms, written as Quantum ESPRESSO input:
```
&SYSTEM
  ibrav = 0, nat = 8, ntyp = 3
/
ATOMIC_SPECIES
Tb 158.93 Tb.upf
V 50.94 V.upf
Ga 69.72 Ga.upf
CELL_PARAMETERS angstrom
4.869 -1.679 0.998
-1.309 4.981 0.998
1.917 1.778 7.498
ATOMIC_POSITIONS angstrom
Tb 2.738 2.540 4.747
V 0.000 0.000 0.000
Ga 0.751 3.793 2.756
Ga 3.839 0.464 2.756
Ga 1.638 4.616 6.738
Ga 4.726 1.286 6.738
Ga 1.406 1.304 2.250
Ga 4.071 3.775 7.244
```

space group = C2/m, No. 12
density of states at the Fermi level = 3.36 states/eV/cell
ΔH_f (0 K) = -0.203 eV per atom

***

No. 8
Sc4AgHg | PBE | relaxed Values from VASP.

Cell and atoms, written as Quantum ESPRESSO input:
```
&SYSTEM
  ibrav = 0, nat = 6, ntyp = 3
/
ATOMIC_SPECIES
Sc 44.96 Sc.upf
Ag 107.87 Ag.upf
Hg 200.59 Hg.upf
CELL_PARAMETERS angstrom
3.344 -0.001 0.000
0.001 3.344 0.000
-0.001 -0.001 11.993
ATOMIC_POSITIONS angstrom
Sc 1.671 1.671 10.186
Sc 1.672 1.672 1.807
Sc -0.001 -0.001 7.953
Sc 0.000 0.000 4.040
Ag 0.000 0.000 0.000
Hg 1.672 1.671 5.996
```

space group = P4/mmm, No. 123
density of states at the Fermi level = 5.96 states/eV/cell
ΔH_f (0 K) = -0.214 eV per atom
ΔE to the lowest computed polymorph = 0 kJ/mol of formula units

***

Q: Look up the density of states at the Fermi level of the first one.
A: 10.97 states/eV/cell

***

Q: Among the records above, which one has the lowest density of states at the Fermi level?
A: SrIn2TePt

***

Q: What is the density of states at the Fermi level in the fourth record?
A: 2.86 states/eV/cell